{
  "formula": "Nd2Sm3Dy6Ho",
  "functional": "PBE",
  "state": "relaxed",
  "formation_enthalpy_0k_kj_per_mol_atoms": 1.34,
  "magmom_total_mub_per_cell": 0.00,
  "lattice_angstrom": [[6.211, 0.001, 0.009], [-3.104, 5.380, 0.009], [-1.049, -1.816, 11.664]],
  "species": ["Sm", "Dy", "Nd", "Nd", "Sm", "Sm", "Dy", "Dy", "Dy", "Ho", "Dy", "Dy"],
  "fractional_positions": [[0.167, 0.833, 0.500], [0.084, 0.416, 0.250], [0.666, 0.334, 0.000], [0.334, 0.666, 0.000], [0.833, 0.167, 0.500], [0.500, 0.500, 0.500], [0.751, 0.751, 0.250], [0.916, 0.584, 0.750], [0.584, 0.916, 0.750], [0.000, 0.000, 0.000], [0.249, 0.249, 0.750], [0.416, 0.084, 0.250]]
}

---

{
  "formula": "NdSmDy3Ho",
  "functional": "PBE",
  "state": "relaxed",
  "formation_enthalpy_0k_kj_per_mol_atoms": 18.71,
  "magmom_total_mub_per_cell": 0.00,
  "lattice_angstrom": [[5.655, 0.000, 0.000], [-2.828, 9.783, 1.631], [0.000, -1.183, 6.916]],
  "species": ["Dy", "Nd", "Sm", "Dy", "Ho", "Nd", "Ho", "Dy", "Dy", "Sm", "Dy", "Dy"],
  "fractional_positions": [[0.220, 0.440, 0.246], [0.354, 0.708, 0.972], [0.946, 0.891, 0.738], [0.478, 0.956, 0.259], [0.350, 0.701, 0.540], [0.646, 0.292, 0.028], [0.650, 0.299, 0.460], [0.522, 0.044, 0.741], [0.835, 0.670, 0.266], [0.054, 0.109, 0.262], [0.165, 0.330, 0.734], [0.780, 0.560, 0.754]]
}

---

{
  "formula": "Nd6SmDy2Ho",
  "functional": "PBE",
  "state": "relaxed",
  "formation_enthalpy_0k_kj_per_mol_atoms": 11.09,
  "magmom_total_mub_per_cell": 0.00,
  "lattice_angstrom": [[9.236, -2.050, -2.127], [0.834, 8.695, -2.034], [0.834, -2.355, 8.613]],
  "species": ["Ho", "Sm", "Nd", "Nd", "Nd", "Nd", "Ho", "Nd", "Nd", "Dy", "Dy", "Nd", "Nd", "Dy", "Dy", "Sm", "Nd", "Nd", "Nd", "Nd"],
  "fractional_positions": [[0.250, 0.411, 0.589], [0.750, 0.027, 0.973], [0.618, 0.489, 0.707], [0.445, 0.241, 0.883], [0.813, 0.436, 0.990], [0.187, 0.564, 0.010], [0.750, 0.589, 0.411], [0.382, 0.511, 0.293], [0.118, 0.707, 0.489], [0.454, 0.799, 0.701], [0.546, 0.201, 0.299], [0.555, 0.759, 0.117], [0.313, 0.990, 0.436], [0.954, 0.701, 0.799], [0.046, 0.299, 0.201], [0.250, 0.973, 0.027], [0.055, 0.117, 0.759], [0.687, 0.010, 0.564], [0.945, 0.883, 0.241], [0.882, 0.293, 0.511]]
}